The following is a DFT calculation (PBE-GGA) of ZrFe3Cl after structural relaxation.

It has space group Pm-3m (No. 221), with a = 4.7662 Å, b = 4.7662 Å, c = 4.7662 Å, α = 90.00°, β = 90.00° and γ = 90.00°. The inequivalent atoms are Zr at (0.0000, 0.0000, 0.0000), Fe at (0.0000, 0.0000, 0.5000) and Cl at (0.5000, 0.5000, 0.5000).

As for the total DFT energy (no corrections): -5.546 eV per atom. The calculation puts the energy relative to the elements, uncorrected at 1.611 eV/atom. Its magnetization is 6.28 μB per cell.